Below is a relaxed Pr2Gd2GeI5 crystal, with properties calculated at the GGA-PBE level.

VASP energy	-4.37	eV per atom
crystal system	monoclinic
mass density	5.7	g/cm³

Cell: 19.5409 4.3128 9.1660 Å, 90.00 102.44 90.00°
Closest atoms and distances in Å follow each position.
Space group C2/m (No. 12)
One atom of each set of equivalent atoms:
Pr1 0.0010 0.0000 0.2839 [4 per cell]  2 Ge 2.93, 1 I 3.24
Gd1 0.1454 0.5000 0.5737 [4 per cell]  1 Ge 2.78
Ge1 0.0000 0.5000 0.5000 [2 per cell]  2 Gd 2.78, 4 Pr 2.93
I1 0.0000 0.5000 0.0000 [2 per cell]  4 Pr 3.38
I2 0.1683 0.0000 0.8256 [4 per cell]  2 Gd 3.12, 1 Pr 3.24
I3 0.1747 0.0000 0.3420 [4 per cell]  3 Gd 3.16-3.43, 1 Pr 3.32